1.
## CuAgB3 (PBE)

Data for a relaxed CuAgB3 crystal.

As for the energy of formation: 2.190 eV per atom. The total DFT energy (no corrections) is -3.2061 eV/atom. The calculation puts the polymorph energy (0 for the lowest one) at 0.592 eV per atom.

The space group is Pm-3m (No. 221) and the conventional cell measures 4.169, 4.169 and 4.169 Å, with angles of 90.00, 90.00 and 90.00 degrees. The inequivalent atoms are Cu at (0.000, 0.000, 0.000), Ag at (0.500, 0.500, 0.500) and B at (0.000, 0.500, 0.500).

***

2.
## Mn6CrGe (PBE)

Data for a relaxed Mn6CrGe crystal.

As for the energy of formation: 0.419 eV per atom. The total DFT energy (no corrections) is -8.2385 eV/atom.

The space group is C2/m (No. 12) and the conventional cell measures 6.881, 4.978 and 6.816 Å, with angles of 90.00, 105.70 and 90.00 degrees. The inequivalent atoms are Mn at (0.133, 0.000, 0.423), Mn at (0.197, 0.245, 0.801), Cr at (0.000, 0.000, 0.000) and Ge at (0.000, 0.500, 0.500).

***

3.
## Cd3GePb (PBE)

Data for a relaxed Cd3GePb crystal.

As for the energy of formation: 0.771 eV per atom. The total DFT energy (no corrections) is -1.4437 eV/atom. The calculation puts the polymorph energy (0 for the lowest one) at 0.422 eV per atom.

The space group is Pm-3m (No. 221) and the conventional cell measures 5.615, 5.615 and 5.615 Å, with angles of 90.00, 90.00 and 90.00 degrees. The inequivalent atoms are Cd at (0.000, 0.000, 0.500), Ge at (0.500, 0.500, 0.500) and Pb at (0.000, 0.000, 0.000).

***

4.
## PrHfPt2 (PBE)

Data for a relaxed PrHfPt2 crystal.

As for the energy of formation: -1.041 eV per atom. The total DFT energy (no corrections) is -7.7444 eV/atom. The calculation puts the polymorph energy (0 for the lowest one) at 0.000 eV per atom.

The space group is P4/mmm (No. 123) and the conventional cell measures 3.345, 3.345 and 7.528 Å, with angles of 90.00, 90.00 and 90.00 degrees. The inequivalent atoms are Pr at (0.000, 0.000, 0.000), Hf at (0.000, 0.000, 0.500) and Pt at (0.500, 0.500, 0.300).

***

5.
## Pu2ZrZn (PBE)

Data for a relaxed Pu2ZrZn crystal.

As for the energy of formation: 0.029 eV per atom. The total DFT energy (no corrections) is -9.5927 eV/atom. The calculation puts the polymorph energy (0 for the lowest one) at 0.000 eV per atom.

The space group is P4/mmm (No. 123) and the conventional cell measures 4.247, 4.247 and 4.835 Å, with angles of 90.00, 90.00 and 90.00 degrees. The inequivalent atoms are Pu at (0.000, 0.500, 0.000), Zr at (0.000, 0.000, 0.500) and Zn at (0.500, 0.500, 0.500).

***

6.
## BaPtBr (PBE)

Data for a relaxed BaPtBr crystal.

The total DFT energy (no corrections) is -3.8137 eV/atom. The calculation puts the polymorph energy (0 for the lowest one) at 0.784 eV per atom. Its uncorrected formation energy is -602 meV/atom.

The space group is F-43m (No. 216) and the conventional cell measures 7.297, 7.297 and 7.297 Å, with angles of 90.00, 90.00 and 90.00 degrees. The inequivalent atoms are Ba at (0.000, 0.000, 0.000), Pt at (0.250, 0.250, 0.750) and Br at (0.000, 0.000, 0.500).

***

7.
## TiVMoOs (PBE)

Data for a relaxed TiVMoOs crystal.

As for the energy of formation: -0.385 eV per atom. The total DFT energy (no corrections) is -10.1531 eV/atom. The calculation puts the polymorph energy (0 for the lowest one) at 0.000 eV per atom.

The space group is F-43m (No. 216) and the conventional cell measures 6.159, 6.159 and 6.159 Å, with angles of 90.00, 90.00 and 90.00 degrees. The inequivalent atoms are Ti at (0.000, 0.000, 0.000), V at (0.000, 0.000, 0.500), Mo at (0.250, 0.250, 0.250) and Os at (0.250, 0.250, 0.750).

***

8.
## ScCu2Si (PBE)

Data for a relaxed ScCu2Si crystal.

The total DFT energy (no corrections) is -5.1723 eV/atom. Its uncorrected formation energy is -186 meV/atom.

The space group is C2/m (No. 12) and the conventional cell measures 8.469, 3.059 and 4.738 Å, with angles of 90.00, 101.52 and 90.00 degrees. The inequivalent atoms are Sc at (0.000, 0.000, 0.000), Cu at (0.239, 0.000, 0.718) and Si at (0.000, 0.500, 0.500).

***

9.
## AlTl (PBE)

Data for a relaxed AlTl crystal.

As for the energy of formation: 0.203 eV per atom. The total DFT energy (no corrections) is -2.8513 eV/atom.

The space group is P6_3/mmc (No. 194) and the conventional cell measures 4.5051, 4.5051 and 12.7891 Å, with angles of 90.00, 90.00 and 120.00 degrees. The inequivalent atoms are Al at (0.0000, 0.0000, 0.2500), Al at (0.3333, 0.6667, 0.2500) and Tl at (0.3333, 0.6667, 0.5949).

***

10.
## Co2SiCl (PBE)

Data for a relaxed Co2SiCl crystal.

The total DFT energy (no corrections) is -5.0332 eV/atom. The calculation puts the polymorph energy (0 for the lowest one) at 0.465 eV per atom. Its uncorrected formation energy is 337 meV/atom.

The space group is Pmmm (No. 47) and the conventional cell measures 2.729, 3.783 and 5.406 Å, with angles of 90.00, 90.00 and 90.00 degrees. The inequivalent atoms are Co at (0.000, 0.000, 0.000), Co at (0.500, 0.000, 0.500), Si at (0.000, 0.500, 0.500) and Cl at (0.500, 0.500, 0.000).

***

11.
## PrThCo2 (PBE)

Data for a relaxed PrThCo2 crystal.

As for the energy of formation: -0.166 eV per atom. The total DFT energy (no corrections) is -6.7688 eV/atom. The calculation puts the polymorph energy (0 for the lowest one) at 0.000 eV per atom.

The space group is Amm2 (No. 38) and the conventional cell measures 3.942, 3.812 and 11.328 Å, with angles of 90.00, 90.00 and 90.00 degrees. The inequivalent atoms are Pr at (0.000, 0.000, 0.000), Th at (0.500, 0.000, 0.730), Co at (0.000, 0.000, 0.275) and Co at (0.500, 0.000, 0.425).

***

12.
## PuThAlAg (PBE)

Data for a relaxed PuThAlAg crystal.

As for the energy of formation: -0.025 eV per atom. The total DFT energy (no corrections) is -7.1110 eV/atom.

The space group is F-43m (No. 216) and the conventional cell measures 7.399, 7.399 and 7.399 Å, with angles of 90.00, 90.00 and 90.00 degrees. The inequivalent atoms are Pu at (0.000, 0.000, 0.000), Th at (0.000, 0.000, 0.500), Al at (0.250, 0.250, 0.250) and Ag at (0.250, 0.250, 0.750).

***

Asked for mass density across the records above, the calculation gives 4.7 6.7 5.8 14.0 12.3 7.0 10.9 5.5 6.8 5.4 9.6 10.0 g/cm³ in order.